Computed, not measured: a relaxed structure of CaCoClO2 at the PBE with a Hubbard U level of DFT.

The structure in POSCAR format:
```
CaCoClO2
1.0
-1.084 -0.468 4.135
-3.675 -3.846 -1.399
3.010 -3.038 0.446
Ca Co O Cl
1 1 2 1
direct
0.000 0.000 0.000 Ca
0.500 0.500 0.500 Co
0.000 0.000 0.500 O
0.500 0.000 0.000 O
0.000 0.500 0.000 Cl
```

Computed properties:
E = -20.91 eV for the cell shown
SG = No. 123
ρ = 2.72 Mg/m³
N(E_F) = 9.311 states/eV/f.u.